Entry 1:
An optimized crystal structure of Nd10Si10N17ClO9. Source: Alexandria, functional PBE-GGA.

- mass density (g/cm3) = 5.14
- E_form (uncorrected) (eV per atom) = -1.97
- magnetic moment (μB per formula unit) = 0.00
- volume (Å³/atom) = 14.714
- symmetry = P1

Cell: 10.547 11.259 11.648 Å, 89.93 90.14 89.95°
Fractional coordinates of all 94 atoms:
Nd  0.991  0.001  0.830
Nd  0.994  0.000  0.170
Nd  0.106  0.367  0.000
Nd  0.141  0.112  0.497
Nd  0.138  0.603  0.754
Nd  0.139  0.603  0.242
Nd  0.359  0.098  0.758
Nd  0.365  0.103  0.240
Nd  0.360  0.616  0.502
Nd  0.373  0.871  0.996
Nd  0.498  0.499  0.827
Nd  0.503  0.497  0.173
Nd  0.644  0.130  0.004
Nd  0.624  0.383  0.497
Nd  0.642  0.895  0.768
Nd  0.647  0.900  0.233
Nd  0.856  0.400  0.771
Nd  0.857  0.399  0.230
Nd  0.876  0.881  0.503
Nd  0.874  0.627  0.000
Si  0.114  0.254  0.754
Si  0.117  0.254  0.245
Si  0.153  0.856  0.362
Si  0.150  0.857  0.635
Si  0.215  0.111  0.000
Si  0.286  0.608  0.000
Si  0.349  0.355  0.365
Si  0.346  0.353  0.636
Si  0.384  0.761  0.757
Si  0.387  0.756  0.243
Si  0.614  0.244  0.754
Si  0.617  0.239  0.246
Si  0.651  0.648  0.365
Si  0.647  0.646  0.634
Si  0.717  0.391  0.000
Si  0.789  0.892  0.000
Si  0.849  0.149  0.635
Si  0.852  0.148  0.367
Si  0.883  0.738  0.755
Si  0.886  0.738  0.246
N  0.020  0.811  0.712
N  0.026  0.808  0.281
N  0.103  0.888  0.498
N  0.171  0.183  0.877
N  0.171  0.184  0.121
N  0.230  0.252  0.350
N  0.224  0.251  0.647
N  0.275  0.753  0.350
N  0.270  0.753  0.649
N  0.323  0.681  0.877
N  0.327  0.684  0.121
N  0.396  0.389  0.501
N  0.419  0.901  0.803
N  0.471  0.304  0.718
N  0.479  0.308  0.287
N  0.524  0.690  0.722
N  0.531  0.694  0.274
N  0.586  0.099  0.198
N  0.591  0.620  0.499
N  0.663  0.321  0.878
N  0.666  0.323  0.124
N  0.732  0.251  0.353
N  0.726  0.250  0.647
N  0.772  0.751  0.355
N  0.767  0.750  0.648
N  0.828  0.818  0.877
N  0.829  0.819  0.124
N  0.850  0.034  0.000
N  0.880  0.406  0.999
N  0.910  0.122  0.502
N  0.919  0.599  0.800
N  0.918  0.598  0.201
N  0.968  0.195  0.727
N  0.975  0.192  0.279
Cl  0.078  0.549  0.499
Cl  0.428  0.050  0.501
O  0.086  0.394  0.797
O  0.087  0.394  0.203
O  0.129  0.580  0.004
O  0.154  0.972  0.000
O  0.185  0.991  0.309
O  0.178  0.994  0.686
O  0.318  0.488  0.691
O  0.321  0.490  0.309
O  0.355  0.474  0.001
O  0.372  0.087  0.001
O  0.418  0.895  0.200
O  0.586  0.106  0.800
O  0.626  0.907  0.000
O  0.652  0.529  0.999
O  0.680  0.507  0.680
O  0.683  0.508  0.320
O  0.813  0.011  0.682
O  0.820  0.008  0.322

---

Entry 2:
An optimized crystal structure of Nd6PN2Cl3. Source: Alexandria, functional PBE-GGA.

- mass density (g/cm3) = 6.30
- E_form (uncorrected) (eV per atom) = -1.53
- magnetic moment (μB per formula unit) = 0.00
- volume (Å³/atom) = 22.642
- symmetry = C2/m

Cell: 3.851 8.321 9.181 Å, 108.72 102.10 90.00°
Fractional coordinates of all 12 atoms:
Nd  0.335  0.866  0.670
Nd  0.682  0.550  0.364
Nd  0.665  0.134  0.330
Nd  0.024  0.248  0.048
Nd  0.976  0.752  0.952
Nd  0.318  0.450  0.636
P  0.500  0.000  0.000
N  0.828  0.660  0.656
N  0.172  0.340  0.344
Cl  0.500  0.500  0.000
Cl  0.837  0.170  0.673
Cl  0.163  0.830  0.327

---

Entry 3:
An optimized crystal structure of PrNdNCl. Source: Alexandria, functional PBE-GGA.

- mass density (g/cm3) = 6.54
- E_form (uncorrected) (eV per atom) = -1.51
- magnetic moment (μB per formula unit) = 0.00
- volume (Å³/atom) = 21.243
- symmetry = R3m

Cell: 3.705 3.705 7.461 Å, 90.00 104.38 120.00°
Fractional coordinates of all 4 atoms:
Pr  0.509  0.152  0.676
Nd  0.093  0.945  0.053
N  0.311  0.553  0.879
Cl  0.965  0.381  0.361

---

Entry 4:
An optimized crystal structure of Pr2NdN2Cl2. Source: Alexandria, functional PBE-GGA.

- mass density (g/cm3) = 5.28
- E_form (uncorrected) (eV per atom) = -1.29
- magnetic moment (μB per formula unit) = 0.95
- volume (Å³/atom) = 23.570
- symmetry = I4/mmm

Cell: 4.672 4.672 8.250 Å, 106.45 106.45 90.00°
Last column: magnetic moment on the atom in μB.
Fractional coordinates of all 7 atoms:
Pr  0.400  0.400  0.801  0.34
Pr  0.600  0.600  0.199  0.34
Nd  0.000  0.000  0.000  0.02
N  0.000  0.500  0.000  -0.03
N  0.500  0.000  0.000  -0.03
Cl  0.190  0.190  0.380  0.01
Cl  0.810  0.810  0.620  0.01

---

Entry 5:
An optimized crystal structure of Nd6Ru2NCl3. Source: Alexandria, functional PBE-GGA.

- mass density (g/cm3) = 6.45
- E_form (uncorrected) (eV per atom) = -1.06
- magnetic moment (μB per formula unit) = 0.00
- volume (Å³/atom) = 25.470
- symmetry = C2/m

Cell: 6.874 6.874 7.808 Å, 98.42 98.42 119.96°
Fractional coordinates of all 12 atoms:
Nd  0.937  0.627  0.804
Nd  0.748  0.748  0.195
Nd  0.063  0.373  0.196
Nd  0.627  0.937  0.804
Nd  0.252  0.252  0.805
Nd  0.373  0.063  0.196
Ru  0.331  0.669  0.000
Ru  0.669  0.331  0.000
N  0.000  0.000  0.000
Cl  0.163  0.837  0.500
Cl  0.837  0.163  0.500
Cl  0.500  0.500  0.500

---

Entry 6:
An optimized crystal structure of Nd4RuNCl2. Source: Alexandria, functional PBE-GGA.

- mass density (g/cm3) = 6.52
- E_form (uncorrected) (eV per atom) = -1.13
- magnetic moment (μB per formula unit) = 0.00
- volume (Å³/atom) = 24.288
- symmetry = P2/m

Cell: 3.856 6.861 7.641 Å, 106.01 90.00 90.00°
Fractional coordinates of all 8 atoms:
Nd  0.500  0.221  0.190
Nd  0.500  0.779  0.810
Nd  0.000  0.230  0.801
Nd  0.000  0.770  0.199
Ru  0.500  0.500  0.000
N  0.000  0.000  0.000
Cl  0.500  0.000  0.500
Cl  0.000  0.500  0.500